1.
The following is a GGA-PBE calculation of crystalline La9Er4Tl11 at its relaxed geometry, from the Alexandria database.

Lattice parameters (Å, degrees): 3.543 14.574 14.574 105.21 90.00 90.00
Last column: magnetic moment on the atom in μB.
Positions (direct):
La1 0.500 0.214 0.052  0.15
La2 0.500 0.786 0.948  0.15
La3 0.500 0.141 0.635  -0.14
La4 0.500 0.948 0.786  0.15
La5 0.500 0.500 0.500  0.16
La6 0.500 0.052 0.214  0.15
La7 0.500 0.365 0.859  -0.14
La8 0.500 0.859 0.365  -0.14
La9 0.500 0.635 0.141  -0.14
Tl1 0.000 0.157 0.843  0.00
Tl2 0.000 0.729 0.729  0.00
Tl3 0.000 0.635 0.365  0.00
Tl4 0.000 0.365 0.635  0.00
Tl5 0.000 0.574 0.933  0.00
Tl6 0.000 0.426 0.067  0.00
Tl7 0.000 0.271 0.271  0.00
Tl8 0.000 0.933 0.574  0.00
Tl9 0.000 0.000 0.000  0.00
Tl10 0.000 0.843 0.157  0.00
Tl11 0.000 0.067 0.426  0.00
Er1 0.500 0.744 0.550  0.01
Er2 0.500 0.450 0.256  0.01
Er3 0.500 0.256 0.450  0.01
Er4 0.500 0.550 0.744  0.01

Results
Formation enthalpy at 0 K ... -328 meV/atom
E ... -4.0206 eV per atom
D(E_F) ... 21.53 states/eV per cell

=====

2.
The following is a GGA-PBE calculation of crystalline La2Er3Tl3 at its relaxed geometry, from the Alexandria database.

Lattice parameters (Å, degrees): 4.961 5.108 9.315 90.00 90.00 90.00
Positions (direct):
Tl1 0.500 0.000 0.500
Tl2 0.000 0.500 0.000
Tl3 0.000 0.500 0.500
La1 0.000 0.000 0.747
La2 0.000 0.000 0.253
Er1 0.500 0.500 0.271
Er2 0.500 0.500 0.729
Er3 0.500 0.000 0.000

Results
Formation enthalpy at 0 K ... -244 meV/atom
E ... -4.0740 eV per atom
D(E_F) ... 7.72 states/eV per cell

=====

What is the D(E_F) in the first record? 21.53 states/eV per cell

=====

Number 1 is which compound? La9Er4Tl11

=====

Please write out number 1 again, unchanged.
The following is a GGA-PBE calculation of crystalline La9Er4Tl11 at its relaxed geometry, from the Alexandria database.

Lattice parameters (Å, degrees): 3.543 14.574 14.574 105.21 90.00 90.00
Last column: magnetic moment on the atom in μB.
Positions (direct):
La1 0.500 0.214 0.052  0.15
La2 0.500 0.786 0.948  0.15
La3 0.500 0.141 0.635  -0.14
La4 0.500 0.948 0.786  0.15
La5 0.500 0.500 0.500  0.16
La6 0.500 0.052 0.214  0.15
La7 0.500 0.365 0.859  -0.14
La8 0.500 0.859 0.365  -0.14
La9 0.500 0.635 0.141  -0.14
Tl1 0.000 0.157 0.843  0.00
Tl2 0.000 0.729 0.729  0.00
Tl3 0.000 0.635 0.365  0.00
Tl4 0.000 0.365 0.635  0.00
Tl5 0.000 0.574 0.933  0.00
Tl6 0.000 0.426 0.067  0.00
Tl7 0.000 0.271 0.271  0.00
Tl8 0.000 0.933 0.574  0.00
Tl9 0.000 0.000 0.000  0.00
Tl10 0.000 0.843 0.157  0.00
Tl11 0.000 0.067 0.426  0.00
Er1 0.500 0.744 0.550  0.01
Er2 0.500 0.450 0.256  0.01
Er3 0.500 0.256 0.450  0.01
Er4 0.500 0.550 0.744  0.01

Results
Formation enthalpy at 0 K ... -328 meV/atom
E ... -4.0206 eV per atom
D(E_F) ... 21.53 states/eV per cell

=====

formation enthalpy at 0 K of number 1 (La9Er4Tl11)? -328 meV/atom